Entry 1:
# Ta2Tc4Ni

A relaxed structure of Ta2Tc4Ni (PBE, the Alexandria database).

CIF file:
```
data_Ta2Tc4Ni
_space_group_name_H-M_alt 'I 4/m m m'
_space_group_IT_number 139
_space_group_name_Hall '-I 4 2'
_cell_length_a 4.3776
_cell_length_b 4.3776
_cell_length_c 12.9338
_cell_angle_alpha 90.00
_cell_angle_beta 90.00
_cell_angle_gamma 90.00
loop_
_atom_site_label
_atom_site_type_symbol
_atom_site_fract_x
_atom_site_fract_y
_atom_site_fract_z
_atom_site_occupancy
Ta1 Ta 0.0000 0.0000 0.1275 1
Tc1 Tc 0.0000 0.0000 0.3149 1
Tc2 Tc 0.0000 0.5000 0.0000 1
Ni1 Ni 0.0000 0.0000 0.5000 1
```

Properties
Energy of formation from the pure elements ... 1.031 eV/atom
Size of the total moment ... 0.520 μB per cell
VASP energy ... -9.105 eV per atom
D(E_F) ... 20.56 states/eV/cell

---

Entry 2:
# AcSb2Pb

A relaxed structure of AcSb2Pb (PBE, the Alexandria database).

CIF file:
```
data_AcSb2Pb
_space_group_name_H-M_alt 'F m -3 m'
_space_group_IT_number 225
_space_group_name_Hall '-F 4 2 3'
_cell_length_a 8.0383
_cell_length_b 8.0383
_cell_length_c 8.0383
_cell_angle_alpha 90.00
_cell_angle_beta 90.00
_cell_angle_gamma 90.00
loop_
_atom_site_label
_atom_site_type_symbol
_atom_site_fract_x
_atom_site_fract_y
_atom_site_fract_z
_atom_site_occupancy
Ac1 Ac 0.0000 0.0000 0.0000 1
Sb1 Sb 0.2500 0.2500 0.2500 1
Pb1 Pb 0.0000 0.0000 0.5000 1
```

Properties
Size of the total moment ... 0.000 μB per cell
Formation energy without anion corrections ... -0.461 eV/atom
Distance to the lowest polymorph of the same formula ... 0.42 eV/f.u.
VASP energy ... -4.476 eV per atom
D(E_F) ... 11.97 states/eV/cell

---

Entry 3:
# TaZn2W

A relaxed structure of TaZn2W (PBE, the Alexandria database).

CIF file:
```
data_TaZn2W
_space_group_name_H-M_alt 'C 1 m 1'
_space_group_IT_number 8
_cell_length_a 9.5142
_cell_length_b 2.6931
_cell_length_c 5.0026
_cell_angle_alpha 90.00
_cell_angle_beta 98.04
_cell_angle_gamma 90.00
loop_
_space_group_symop_operation_xyz
'x,y,z'
'x,-y,z'
'x+1/2,y+1/2,z'
'x+1/2,-y+1/2,z'
loop_
_atom_site_label
_atom_site_type_symbol
_atom_site_fract_x
_atom_site_fract_y
_atom_site_fract_z
_atom_site_occupancy
Ta1 Ta 0.0000 0.0000 0.0000 1
Zn1 Zn 0.2520 0.5000 0.2554 1
Zn2 Zn 0.4936 0.0000 0.4991 1
W1 W 0.2423 0.0000 0.7484 1
```

Properties
Energy of formation from the pure elements ... 0.231 eV/atom
Size of the total moment ... 0.000 μB per cell
Distance to the lowest polymorph of the same formula ... 0.61 eV/f.u.
VASP energy ... -6.607 eV per atom
D(E_F) ... 4.91 states/eV/cell

---

Entry 4:
# ScOsPb

A relaxed structure of ScOsPb (PBE, the Alexandria database).

CIF file:
```
data_ScOsPb
_space_group_name_H-M_alt 'P 3 m 1'
_space_group_IT_number 156
_cell_length_a 4.6665
_cell_length_b 4.6665
_cell_length_c 3.1949
_cell_angle_alpha 90.00
_cell_angle_beta 90.00
_cell_angle_gamma 120.00
loop_
_space_group_symop_operation_xyz
'x,y,z'
'-y,x-y,z'
'-x+y,-x,z'
'-y,-x,z'
'-x+y,y,z'
'x,x-y,z'
loop_
_atom_site_label
_atom_site_type_symbol
_atom_site_fract_x
_atom_site_fract_y
_atom_site_fract_z
_atom_site_occupancy
Sc1 Sc 0.0000 0.0000 0.0000 1
Os1 Os 0.3333 0.6667 0.4766 1
Pb1 Pb 0.6667 0.3333 0.4941 1
```

Properties
Energy of formation from the pure elements ... 0.165 eV/atom
Size of the total moment ... 0.000 μB per cell
Distance to the lowest polymorph of the same formula ... 0.34 eV/f.u.
VASP energy ... -6.925 eV per atom
D(E_F) ... 2.79 states/eV/cell

---

Entry 5:
# SrAg2Ir

A relaxed structure of SrAg2Ir (PBE, the Alexandria database).

CIF file:
```
data_SrAg2Ir
_space_group_name_H-M_alt 'P 4 m m'
_space_group_IT_number 99
_cell_length_a 3.4370
_cell_length_b 3.4370
_cell_length_c 7.2812
_cell_angle_alpha 90.00
_cell_angle_beta 90.00
_cell_angle_gamma 90.00
loop_
_space_group_symop_operation_xyz
'x,y,z'
'-y,x,z'
'-x,-y,z'
'y,-x,z'
'-x,y,z'
'y,x,z'
'x,-y,z'
'-y,-x,z'
loop_
_atom_site_label
_atom_site_type_symbol
_atom_site_fract_x
_atom_site_fract_y
_atom_site_fract_z
_atom_site_occupancy
Sr1 Sr 0.0000 0.0000 0.0000 1
Ag1 Ag 0.0000 0.0000 0.5363 1
Ag2 Ag 0.5000 0.5000 0.3342 1
Ir1 Ir 0.5000 0.5000 0.7363 1
```

Properties
Energy of formation from the pure elements ... 0.237 eV/atom
Size of the total moment ... 0.000 μB per cell
Distance to the lowest polymorph of the same formula ... 0.69 eV/f.u.
VASP energy ... -3.824 eV per atom
D(E_F) ... 3.12 states/eV/cell

---

Entry 6:
# Mg2AsSe

A relaxed structure of Mg2AsSe (PBE, the Alexandria database).

CIF file:
```
data_Mg2AsSe
_space_group_name_H-M_alt 'P 1 2/m 1'
_space_group_IT_number 10
_cell_length_a 3.4579
_cell_length_b 3.5265
_cell_length_c 7.1548
_cell_angle_alpha 90.00
_cell_angle_beta 90.35
_cell_angle_gamma 90.00
loop_
_space_group_symop_operation_xyz
'x,y,z'
'-x,-y,-z'
'-x,y,-z'
'x,-y,z'
loop_
_atom_site_label
_atom_site_type_symbol
_atom_site_fract_x
_atom_site_fract_y
_atom_site_fract_z
_atom_site_occupancy
Mg1 Mg 0.0138 0.0000 0.2279 1
As1 As 0.5000 0.5000 0.0000 1
Se1 Se 0.0000 0.5000 0.5000 1
```

Properties
Size of the total moment ... 0.000 μB per cell
Formation energy without anion corrections ... -0.509 eV/atom
VASP energy ... -3.340 eV per atom
D(E_F) ... 1.50 states/eV/cell

---

Entry 7:
# ErTc4P2

A relaxed structure of ErTc4P2 (PBE, the Alexandria database).

CIF file:
```
data_ErTc4P2
_space_group_name_H-M_alt 'C m m m'
_space_group_IT_number 65
_space_group_name_Hall '-C 2 2'
_cell_length_a 4.0440
_cell_length_b 13.4795
_cell_length_c 4.0039
_cell_angle_alpha 90.00
_cell_angle_beta 90.00
_cell_angle_gamma 90.00
loop_
_atom_site_label
_atom_site_type_symbol
_atom_site_fract_x
_atom_site_fract_y
_atom_site_fract_z
_atom_site_occupancy
Er1 Er 0.0000 0.0000 0.0000 1
Tc1 Tc 0.0000 0.1819 0.5000 1
Tc2 Tc 0.0000 0.3099 0.0000 1
P1 P 0.0000 0.4144 0.5000 1
```

Properties
Energy of formation from the pure elements ... -0.707 eV/atom
Size of the total moment ... 0.000 μB per cell
VASP energy ... -8.828 eV per atom
D(E_F) ... 5.39 states/eV/cell

---

Entry 8:
# Rb2CI2

A relaxed structure of Rb2CI2 (PBE, the Alexandria database).

CIF file:
```
data_Rb2CI2
_space_group_name_H-M_alt 'I 4/m m m'
_space_group_IT_number 139
_space_group_name_Hall '-I 4 2'
_cell_length_a 7.2541
_cell_length_b 7.2541
_cell_length_c 12.1904
_cell_angle_alpha 90.00
_cell_angle_beta 90.00
_cell_angle_gamma 90.00
loop_
_atom_site_label
_atom_site_type_symbol
_atom_site_fract_x
_atom_site_fract_y
_atom_site_fract_z
_atom_site_occupancy
Rb1 Rb 0.0000 0.0000 0.2379 1
C1 C 0.0000 0.0000 0.5000 1
I1 I 0.0000 0.5000 0.2500 1
```

Properties
Size of the total moment ... 4.000 μB per cell
Formation energy without anion corrections ... 0.438 eV/atom
Distance to the lowest polymorph of the same formula ... 0.44 eV/f.u.
VASP energy ... -2.413 eV per atom
D(E_F) ... 45.94 states/eV/cell